# 1
! ScWBr2, optimized geometry, DFT PBE; values from VASP
&SYSTEM
  ibrav = 0, nat = 4, ntyp = 3
/
ATOMIC_SPECIES
Br 79.90 Br.upf
Sc 44.96 Sc.upf
W 183.84 W.upf
CELL_PARAMETERS angstrom
5.940 -0.005 0.004
3.016 5.117 -0.004
-3.851 -3.654 2.665
ATOMIC_POSITIONS crystal
Br 0.032 0.032 0.000
Br 0.736 0.236 0.500
Sc 0.489 0.489 0.000
W 0.244 0.744 0.500
! Formation energy (no corrections) in meV/atom: 326
! Energy relative to the lowest polymorph listed for this composition in eV per atom: 0.657

# 2
! TbDy2Pa, optimized geometry, DFT PBE; values from VASP
&SYSTEM
  ibrav = 0, nat = 4, ntyp = 3
/
ATOMIC_SPECIES
Pa 231.04 Pa.upf
Tb 158.93 Tb.upf
Dy 162.50 Dy.upf
CELL_PARAMETERS angstrom
3.408 0.000 0.000
0.000 3.408 0.000
0.000 0.000 10.194
ATOMIC_POSITIONS crystal
Pa 0.500 0.500 0.000
Tb 0.500 0.500 0.500
Dy 0.000 0.000 0.767
Dy 0.000 0.000 0.233
! Formation energy in meV per atom: 129
! Energy relative to the lowest polymorph listed for this composition in eV per atom: 0.015

# 3
! BTePbN2, optimized geometry, DFT PBE; values from VASP
&SYSTEM
  ibrav = 0, nat = 5, ntyp = 4
/
ATOMIC_SPECIES
Pb 207.20 Pb.upf
B 10.81 B.upf
Te 127.60 Te.upf
N 14.01 N.upf
CELL_PARAMETERS angstrom
4.178 0.000 0.000
0.000 4.178 0.000
0.000 0.000 4.954
ATOMIC_POSITIONS crystal
Pb 0.500 0.500 0.500
B 0.000 0.000 0.000
Te 0.000 0.000 0.500
N 0.000 0.500 0.000
N 0.500 0.000 0.000
! Formation energy (no corrections) in meV/atom: 1820
! Energy relative to the lowest polymorph listed for this composition in eV per atom: 0.000

# 4
! PmEuRh, optimized geometry, DFT PBE; values from VASP
&SYSTEM
  ibrav = 0, nat = 3, ntyp = 3
/
ATOMIC_SPECIES
Eu 151.96 Eu.upf
Rh 102.91 Rh.upf
Pm 145.00 Pm.upf
CELL_PARAMETERS angstrom
3.555 0.000 0.000
0.000 3.555 0.000
-1.778 -1.778 6.653
ATOMIC_POSITIONS crystal
Eu 0.034 0.034 0.068
Rh 0.676 0.676 0.352
Pm 0.290 0.290 0.580
! Formation energy in meV per atom: -407
! Energy relative to the lowest polymorph listed for this composition in eV per atom: 0.003

# 5
! K2MgI, optimized geometry, DFT PBE; values from VASP
&SYSTEM
  ibrav = 0, nat = 4, ntyp = 3
/
ATOMIC_SPECIES
I 126.90 I.upf
K 39.10 K.upf
Mg 24.30 Mg.upf
CELL_PARAMETERS angstrom
0.000 4.492 4.492
4.492 0.000 4.492
4.492 4.492 0.000
ATOMIC_POSITIONS crystal
I 0.500 0.500 0.500
K 0.250 0.250 0.250
K 0.750 0.750 0.750
Mg 0.000 0.000 0.000
! Formation energy (no corrections) in meV/atom: -378
! Energy relative to the lowest polymorph listed for this composition in eV per atom: 0.011

# 6
! Pr2Nd3Er4, optimized geometry, DFT PBE; values from VASP
&SYSTEM
  ibrav = 0, nat = 18, ntyp = 3
/
ATOMIC_SPECIES
Pr 140.91 Pr.upf
Nd 144.24 Nd.upf
Er 167.26 Er.upf
CELL_PARAMETERS angstrom
-1.985 -4.659 -3.526
-6.311 -7.888 5.091
-11.038 -0.149 -2.473
ATOMIC_POSITIONS crystal
Pr 0.439 0.259 0.516
Pr 0.061 0.484 0.741
Pr 0.561 0.741 0.484
Pr 0.939 0.516 0.259
Nd 0.769 0.019 0.305
Nd 0.731 0.695 0.981
Nd 0.231 0.981 0.695
Nd 0.269 0.305 0.019
Nd 0.250 0.633 0.367
Nd 0.750 0.367 0.633
Er 0.425 0.944 0.171
Er 0.075 0.829 0.056
Er 0.575 0.056 0.829
Er 0.925 0.171 0.944
Er 0.105 0.151 0.385
Er 0.395 0.615 0.849
Er 0.895 0.849 0.615
Er 0.605 0.385 0.151
! Formation energy in meV per atom: 94
! Energy relative to the lowest polymorph listed for this composition in eV per atom: 0.073

# 7
! Pm3Nd3Er4, optimized geometry, DFT PBE; values from VASP
&SYSTEM
  ibrav = 0, nat = 10, ntyp = 3
/
ATOMIC_SPECIES
Pm 145.00 Pm.upf
Nd 144.24 Nd.upf
Er 167.26 Er.upf
CELL_PARAMETERS angstrom
3.658 0.000 0.000
0.000 9.621 -0.042
0.000 0.042 9.621
ATOMIC_POSITIONS crystal
Pm 0.500 0.825 0.175
Pm 0.500 0.325 0.325
Pm 0.500 0.675 0.675
Nd 0.000 0.501 0.000
Nd 0.000 0.000 0.499
Nd 0.500 0.175 0.825
Er 0.000 0.622 0.378
Er 0.000 0.378 0.622
Er 0.000 0.877 0.878
Er 0.000 0.122 0.123
! Formation energy in meV per atom: 89

# 8
! La6TlNi, optimized geometry, DFT PBE; values from VASP
&SYSTEM
  ibrav = 0, nat = 8, ntyp = 3
/
ATOMIC_SPECIES
La 138.91 La.upf
Tl 204.38 Tl.upf
Ni 58.69 Ni.upf
CELL_PARAMETERS angstrom
6.545 0.471 0.000
1.879 8.114 0.000
0.939 4.057 5.090
ATOMIC_POSITIONS crystal
La 0.794 0.598 0.604
La 0.794 0.202 0.396
La 0.206 0.798 0.604
La 0.206 0.402 0.396
La 0.603 0.794 0.000
La 0.397 0.206 0.000
Tl 0.000 0.000 0.000
Ni 0.500 0.500 0.000
! Formation energy in meV per atom: -107

# 9
! BaCa2LaHg, optimized geometry, DFT PBE; values from VASP
&SYSTEM
  ibrav = 0, nat = 5, ntyp = 4
/
ATOMIC_SPECIES
Ba 137.33 Ba.upf
Ca 40.08 Ca.upf
Hg 200.59 Hg.upf
La 138.91 La.upf
CELL_PARAMETERS angstrom
-5.641 0.278 2.398
-2.426 -0.259 -5.677
-0.155 -6.125 0.345
ATOMIC_POSITIONS crystal
Ba 0.000 0.500 0.000
Ca 0.000 0.000 0.500
Ca 0.500 0.000 0.000
Hg 0.500 0.500 0.500
La 0.000 0.000 0.000
! Formation energy in meV per atom: 682
! Energy relative to the lowest polymorph listed for this composition in eV per atom: 0.759

# 10
! PmYPSe, optimized geometry, DFT PBE; values from VASP
&SYSTEM
  ibrav = 0, nat = 4, ntyp = 4
/
ATOMIC_SPECIES
Pm 145.00 Pm.upf
Y 88.91 Y.upf
P 30.97 P.upf
Se 78.96 Se.upf
CELL_PARAMETERS angstrom
-1.463 -1.811 3.286
3.683 1.631 0.070
-3.026 6.836 -0.047
ATOMIC_POSITIONS crystal
Pm 0.118 0.957 0.090
Y 0.488 0.142 0.644
P 0.301 0.548 0.864
Se 0.972 0.384 0.371
! Formation energy (no corrections) in meV/atom: -1714

# 11
! Nb6NiRh12, optimized geometry, DFT PBE; values from VASP
&SYSTEM
  ibrav = 0, nat = 19, ntyp = 3
/
ATOMIC_SPECIES
Nb 92.91 Nb.upf
Ni 58.69 Ni.upf
Rh 102.91 Rh.upf
CELL_PARAMETERS angstrom
6.665 0.381 0.456
-0.634 6.645 0.456
-0.634 -0.739 6.620
ATOMIC_POSITIONS crystal
Nb 0.702 0.876 0.256
Nb 0.744 0.298 0.124
Nb 0.124 0.744 0.298
Nb 0.298 0.124 0.744
Nb 0.256 0.702 0.876
Nb 0.876 0.256 0.702
Ni 0.000 0.000 0.000
Rh 0.793 0.541 0.452
Rh 0.452 0.793 0.541
Rh 0.541 0.452 0.793
Rh 0.207 0.459 0.548
Rh 0.548 0.207 0.459
Rh 0.459 0.548 0.207
Rh 0.033 0.135 0.356
Rh 0.865 0.644 0.967
Rh 0.644 0.967 0.865
Rh 0.967 0.865 0.644
Rh 0.135 0.356 0.033
Rh 0.356 0.033 0.135
! Formation energy in meV per atom: -295

# 12
! Rb2FeAg, optimized geometry, DFT PBE; values from VASP
&SYSTEM
  ibrav = 0, nat = 4, ntyp = 3
/
ATOMIC_SPECIES
Rb 85.47 Rb.upf
Ag 107.87 Ag.upf
Fe 55.84 Fe.upf
CELL_PARAMETERS angstrom
0.000 4.288 4.288
4.288 0.000 4.288
4.288 4.288 0.000
ATOMIC_POSITIONS crystal
Rb 0.250 0.250 0.250
Rb 0.750 0.750 0.750
Ag 0.500 0.500 0.500
Fe 0.000 0.000 0.000
! Formation energy in meV per atom: 851